(1)
Density functional theory data (PBE) for CuAs after structural relaxation.

## Properties
As for the energy relative to the elements: 238 meV/atom.

abc: 2.9089 2.9089 3.6841
angles: 90.00 90.00 90.00
Last column: nearest neighbours and their distance in Å.
Sites, in units of the cell vectors:
Cu  0.0000  0.0000  0.0000  8 As 2.76, 4 Cu 2.91
As  0.5000  0.5000  0.5000  8 Cu 2.76, 4 As 2.91

(2)
Density functional theory data (PBE) for ScBeTl after structural relaxation.

## Properties
As for the energy relative to the elements: 956 meV/atom. The value obtained for the excess energy over the best structure of this formula in the dataset is 1043.3 meV/atom.

abc: 4.0801 4.0801 11.2140
angles: 90.00 90.00 120.00
Last column: nearest neighbours and their distance in Å.
Sites, in units of the cell vectors:
Sc  0.0000  0.0000  0.0000  2 Tl 2.80
Sc  0.0000  0.0000  0.5000  2 Tl 2.80
Be  0.3333  0.6667  0.2500  3 Tl 2.36
Be  0.6667  0.3333  0.7500  3 Tl 2.36
Tl  0.0000  0.0000  0.2500  3 Be 2.36
Tl  0.0000  0.0000  0.7500  3 Be 2.36